# 1
LiCoI2 | PBE-GGA | optimized geometry

Computed properties:
crystal system	tetragonal
space group	No. 122
relative energy among the computed polymorphs	0.00	kcal/mol of atoms
density of states at the Fermi level	17.989	states/eV per cell

Cell lengths 6.2412, 6.2412, 12.1740 Å; angles 90.00, 90.00, 90.00 degrees
Element x y z (fractional)
Li 0.0000 0.0000 0.0000
Li 0.0000 0.5000 0.2500
Li 0.5000 0.0000 0.7500
Li 0.5000 0.5000 0.5000
Co 0.0000 0.0000 0.5000
Co 0.0000 0.5000 0.7500
Co 0.5000 0.0000 0.2500
Co 0.5000 0.5000 0.0000
I 0.2256 0.2500 0.6250
I 0.2500 0.7256 0.8750
I 0.2500 0.7744 0.3750
I 0.2744 0.2500 0.1250
I 0.7256 0.7500 0.1250
I 0.7500 0.2256 0.3750
I 0.7500 0.2744 0.8750
I 0.7744 0.7500 0.6250



# 2
Li2CoI4 | PBE-GGA | optimized geometry

Computed properties:
crystal system	tetragonal
space group	No. 139
DFT total energy	-20.2	eV/f.u.
density of states at the Fermi level	13.342	states/eV per cell

Cell lengths 5.6811, 5.6811, 13.9942 Å; angles 90.00, 90.00, 90.00 degrees
Element x y z (fractional)
Li 0.0000 0.0000 0.1159
Li 0.0000 0.0000 0.8841
Li 0.5000 0.5000 0.3841
Li 0.5000 0.5000 0.6159
Co 0.0000 0.0000 0.5000
Co 0.5000 0.5000 0.0000
I 0.0000 0.0000 0.3082
I 0.0000 0.0000 0.6918
I 0.0000 0.5000 0.0000
I 0.0000 0.5000 0.5000
I 0.5000 0.0000 0.0000
I 0.5000 0.0000 0.5000
I 0.5000 0.5000 0.1918
I 0.5000 0.5000 0.8082



# 3
LiCoI3 | PBE-GGA | optimized geometry

Computed properties:
crystal system	cubic
space group	No. 221
relative energy among the computed polymorphs	0.00	kcal/mol of atoms
density of states at the Fermi level	9.816	states/eV per cell

Cell lengths 5.4464, 5.4464, 5.4464 Å; angles 90.00, 90.00, 90.00 degrees
Element x y z (fractional)
Li 0.0000 0.0000 0.0000
Co 0.5000 0.5000 0.5000
I 0.0000 0.5000 0.5000
I 0.5000 0.0000 0.5000
I 0.5000 0.5000 0.0000



# 4
Li2CoI | PBE-GGA | optimized geometry

Computed properties:
crystal system	tetragonal
space group	No. 122
relative energy among the computed polymorphs	0.34	kcal/mol of atoms
density of states at the Fermi level	15.119	states/eV per cell

Cell lengths 7.4833, 7.4833, 5.3870 Å; angles 90.00, 90.00, 90.00 degrees
Element x y z (fractional)
Li 0.2281 0.2500 0.1250
Li 0.2500 0.7281 0.3750
Li 0.2500 0.7719 0.8750
Li 0.2719 0.2500 0.6250
Li 0.7281 0.7500 0.6250
Li 0.7500 0.2281 0.8750
Li 0.7500 0.2719 0.3750
Li 0.7719 0.7500 0.1250
Co 0.0000 0.0000 0.0000
Co 0.0000 0.5000 0.2500
Co 0.5000 0.0000 0.7500
Co 0.5000 0.5000 0.5000
I 0.0000 0.0000 0.5000
I 0.0000 0.5000 0.7500
I 0.5000 0.0000 0.2500
I 0.5000 0.5000 0.0000



# 5
LiCoI4 | PBE-GGA | optimized geometry

Computed properties:
crystal system	tetragonal
space group	No. 131
DFT total energy	-17.0	eV/f.u.
density of states at the Fermi level	4.894	states/eV per cell

Cell lengths 7.8887, 7.8887, 9.6933 Å; angles 90.00, 90.00, 90.00 degrees
Element x y z (fractional)
Li 0.0000 0.0000 0.0000
Li 0.0000 0.0000 0.5000
Co 0.0000 0.5000 0.0000
Co 0.5000 0.0000 0.5000
I 0.2277 0.2734 0.0000
I 0.2277 0.7266 0.0000
I 0.2734 0.2277 0.5000
I 0.2734 0.7723 0.5000
I 0.7266 0.2277 0.5000
I 0.7266 0.7723 0.5000
I 0.7723 0.2734 0.0000
I 0.7723 0.7266 0.0000



# 6
LiCoI2 | PBE-GGA | optimized geometry

Computed properties:
crystal system	cubic
space group	No. 225
relative energy among the computed polymorphs	10.98	kcal/mol of atoms
density of states at the Fermi level	22.985	states/eV per cell

Cell lengths 7.3118, 7.3118, 7.3118 Å; angles 90.00, 90.00, 90.00 degrees
Element x y z (fractional)
Li 0.0000 0.0000 0.0000
Li 0.0000 0.5000 0.5000
Li 0.5000 0.0000 0.5000
Li 0.5000 0.5000 0.0000
Co 0.0000 0.0000 0.5000
Co 0.0000 0.5000 0.0000
Co 0.5000 0.0000 0.0000
Co 0.5000 0.5000 0.5000
I 0.2500 0.2500 0.2500
I 0.2500 0.2500 0.7500
I 0.2500 0.7500 0.2500
I 0.2500 0.7500 0.7500
I 0.7500 0.2500 0.2500
I 0.7500 0.2500 0.7500
I 0.7500 0.7500 0.2500
I 0.7500 0.7500 0.7500



# 7
LiCoI2 | PBE-GGA | optimized geometry

Computed properties:
crystal system	trigonal
space group	No. 166
relative energy among the computed polymorphs	1.00	kcal/mol of atoms

Cell lengths 4.1150, 4.1150, 19.8249 Å; angles 90.00, 90.00, 120.00 degrees
Element x y z (fractional)
Li 0.0000 0.0000 0.0000
Li 0.3333 0.6667 0.6667
Li 0.6667 0.3333 0.3333
Co 0.0000 0.0000 0.5000
Co 0.3333 0.6667 0.1667
Co 0.6667 0.3333 0.8333
I 0.0000 0.0000 0.2422
I 0.0000 0.0000 0.7578
I 0.3333 0.6667 0.4245
I 0.3333 0.6667 0.9089
I 0.6667 0.3333 0.0911
I 0.6667 0.3333 0.5755



# 8
LiCoIN2 | PBE-GGA | optimized geometry

Computed properties:
crystal system	tetragonal
space group	No. 123
relative energy among the computed polymorphs	0.00	kcal/mol of atoms
density of states at the Fermi level	3.378	states/eV per cell

Cell lengths 3.5896, 3.5896, 8.2391 Å; angles 90.00, 90.00, 90.00 degrees
Element x y z (fractional)
Li 0.0000 0.0000 0.0000
Co 0.5000 0.5000 0.5000
I 0.5000 0.5000 0.0000
N 0.0000 0.5000 0.5000
N 0.5000 0.0000 0.5000



# 9
LiCoIN2 | PBE-GGA | optimized geometry

Computed properties:
crystal system	tetragonal
space group	No. 123
relative energy among the computed polymorphs	28.30	kcal/mol of atoms
density of states at the Fermi level	5.467	states/eV per cell

Cell lengths 3.7650, 3.7650, 5.7262 Å; angles 90.00, 90.00, 90.00 degrees
Element x y z (fractional)
Li 0.0000 0.0000 0.0000
Co 0.5000 0.5000 0.5000
I 0.0000 0.0000 0.5000
N 0.0000 0.5000 0.0000
N 0.5000 0.0000 0.0000



# 10
NaLiCo2I | PBE-GGA | optimized geometry

Computed properties:
crystal system	tetragonal
space group	No. 123
DFT total energy	-12.8	eV/f.u.
density of states at the Fermi level	7.374	states/eV per cell

Cell lengths 4.8391, 4.8391, 6.0697 Å; angles 90.00, 90.00, 90.00 degrees
Element x y z (fractional)
Na 0.0000 0.0000 0.0000
Li 0.5000 0.5000 0.5000
Co 0.0000 0.5000 0.0000
Co 0.5000 0.0000 0.0000
I 0.0000 0.0000 0.5000



Asked for mass density across the records above, the calculation gives 4.478; 4.268; 4.590; 4.397; 3.157; 5.432; 5.478; 3.454; 4.517; 3.209 Mg/m³ in order.
Asked for total magnetic moment across the records above, the calculation gives 0.500; 0.421; 0.360; 0.282; 0.325; 0.500; 0.500; 0.000; 0.924; 0.798 μB/atom in order.